No. 1
## PrNdTc (PBE)

Data for crystalline PrNdTc at its relaxed geometry.

Summary:
SG = No. 107
E above lowest polymorph = 43 meV per atom
Density = 7508 kg/m3
Calculated formation energy = 0.131 eV/atom
Energy = -6.5067 eV/atom
DOS at the Fermi energy = 1.340 states/eV per atom

abc: 3.548 3.548 7.183
angles: 104.30 104.30 90.00
Sites, in units of the cell vectors:
Pr 0.294 0.294 0.587
Tc 0.666 0.666 0.332
Nd 0.040 0.040 0.081

No. 2
## Ge2Bi (PBE)

Data for crystalline Ge2Bi at its relaxed geometry.

Summary:
SG = No. 227
Density = 8345 kg/m3
Calculated formation energy = 0.322 eV/atom
Energy = -4.0501 eV/atom
DOS at the Fermi energy = 0.659 states/eV per atom

abc: 5.842 5.842 5.842
angles: 60.00 60.00 60.00
Sites, in units of the cell vectors:
Ge 0.625 0.125 0.625
Ge 0.125 0.625 0.625
Ge 0.625 0.625 0.625
Bi 0.000 0.000 0.000
Ge 0.625 0.625 0.125
Bi 0.250 0.250 0.250

No. 3
## LaDyErTm3 (PBE)

Data for crystalline LaDyErTm3 at its relaxed geometry.

Summary:
SG = No. 63
Density = 8453 kg/m3
Calculated formation energy = 0.118 eV/atom
Energy = -4.4670 eV/atom
DOS at the Fermi energy = 1.987 states/eV per atom

abc: 5.769 6.437 11.543
angles: 90.00 90.00 116.62
Sites, in units of the cell vectors:
Tm 0.676 0.352 0.003
Tm 0.324 0.648 0.503
La 0.503 0.006 0.750
Tm 0.170 0.340 0.750
Er 0.827 0.653 0.750
La 0.497 0.994 0.250
Tm 0.830 0.660 0.250
Tm 0.324 0.648 0.997
Tm 0.676 0.352 0.497
Dy 0.000 0.000 0.000
Dy 0.000 0.000 0.500
Er 0.173 0.347 0.250

No. 4
## Pd2Se2S (PBE)

Data for crystalline Pd2Se2S at its relaxed geometry.

Summary:
SG = No. 62
E above lowest polymorph = 0 meV per atom
Raw formation energy = -139 meV per atom
Density = 6897 kg/m3
Energy = -4.4350 eV/atom
DOS at the Fermi energy = 0.383 states/eV per atom

abc: 4.982 7.496 10.388
angles: 90.00 90.00 90.00
Sites, in units of the cell vectors:
Pd 0.750 0.763 0.113
Se 0.750 0.144 0.915
Se 0.250 0.094 0.668
Se 0.750 0.406 0.168
Se 0.750 0.906 0.332
Pd 0.250 0.086 0.262
S 0.250 0.819 0.389
Se 0.250 0.856 0.085
Se 0.750 0.644 0.585
Pd 0.750 0.414 0.762
Se 0.250 0.356 0.415
Pd 0.250 0.237 0.887
Pd 0.250 0.737 0.613
S 0.750 0.681 0.889
Pd 0.250 0.586 0.238
Se 0.250 0.594 0.832
S 0.750 0.181 0.611
S 0.250 0.319 0.111
Pd 0.750 0.914 0.738
Pd 0.750 0.263 0.387

No. 5
## K2Te2Au (PBE)

Data for crystalline K2Te2Au at its relaxed geometry.

Summary:
SG = No. 127
Raw formation energy = -586 meV per atom
Density = 5300 kg/m3
Energy = -2.9369 eV/atom
DOS at the Fermi energy = 0.263 states/eV per atom

abc: 7.865 7.865 5.372
angles: 90.00 90.00 90.00
Sites, in units of the cell vectors:
Te 0.834 0.666 0.000
K 0.349 0.151 0.500
K 0.151 0.651 0.500
Au 0.000 0.000 0.000
Te 0.666 0.166 0.000
Te 0.166 0.334 0.000
Te 0.334 0.834 0.000
Au 0.500 0.500 0.000
K 0.651 0.849 0.500
K 0.849 0.349 0.500

No. 6
## SrCuRu (PBE)

Data for crystalline SrCuRu at its relaxed geometry.

Summary:
SG = No. 107
E above lowest polymorph = 0 meV per atom
Density = 6813 kg/m3
Calculated formation energy = 0.390 eV/atom
Energy = -4.6278 eV/atom
DOS at the Fermi energy = 0.911 states/eV per atom

abc: 5.798 5.798 5.798
angles: 145.72 145.76 49.24
Sites, in units of the cell vectors:
Sr 0.668 0.668 0.000
Cu 0.952 0.952 0.000
Ru 0.381 0.381 0.000

No. 7
## RbEr2O3 (PBE)

Data for crystalline RbEr2O3 at its relaxed geometry.

Summary:
SG = No. 191
Raw formation energy = -2698 meV per atom
Density = 8016 kg/m3
Energy = -6.8592 eV/atom
DOS at the Fermi energy = 0.274 states/eV per atom

abc: 6.253 5.983 5.983
angles: 119.99 90.00 90.00
Sites, in units of the cell vectors:
O 0.750 0.000 0.000
O 0.250 0.000 0.500
Rb 0.750 0.500 0.500
Rb 0.250 0.500 0.500
O 0.750 0.000 0.500
O 0.250 0.000 0.000
O 0.750 0.500 0.000
O 0.250 0.500 0.000
Er 0.500 0.833 0.167
Er 0.500 0.167 0.833
Er 0.000 0.167 0.833
Er 0.000 0.833 0.167

No. 8
## Li2CoH6Rh (PBE)

Data for crystalline Li2CoH6Rh at its relaxed geometry.

Summary:
SG = No. 139
Density = 4180 kg/m3
Energy = -4.0993 eV/atom
DOS at the Fermi energy = 0.205 states/eV per atom

abc: 4.663 4.663 4.681
angles: 60.09 60.09 89.95
Sites, in units of the cell vectors:
H 0.242 0.758 0.000
H 0.242 0.242 0.516
H 0.758 0.242 0.000
Li 0.750 0.250 0.500
Co 0.000 0.000 0.000
Rh 0.500 0.500 0.000
H 0.758 0.758 0.000
H 0.242 0.242 0.000
Li 0.250 0.750 0.500
H 0.758 0.758 0.484

No. 9
## KTiS2O8 (PBE)

Data for crystalline KTiS2O8 at its relaxed geometry.

Summary:
SG = No. 147
Raw formation energy = -1837 meV per atom
Density = 2619 kg/m3
Energy = -6.5795 eV/atom
DOS at the Fermi energy = 0.470 states/eV per atom

abc: 4.998 4.998 8.181
angles: 90.00 90.00 120.00
Last column: magnetic moment on the atom in μB.
Sites, in units of the cell vectors:
Ti 0.000 0.000 0.500  0.91
O 0.275 0.914 0.651  -0.01
S 0.667 0.333 0.286  0.01
S 0.333 0.667 0.714  0.01
K 0.000 0.000 0.000  0.00
O 0.086 0.360 0.651  -0.01
O 0.640 0.725 0.651  -0.01
O 0.333 0.667 0.892  0.00
O 0.914 0.640 0.349  -0.01
O 0.667 0.333 0.108  0.00
O 0.725 0.086 0.349  -0.01
O 0.360 0.275 0.349  -0.01

No. 10
## La3InCo (PBE)

Data for crystalline La3InCo at its relaxed geometry.

Summary:
SG = No. 51
E above lowest polymorph = 61 meV per atom
Density = 6572 kg/m3
Calculated formation energy = -0.230 eV/atom
Energy = -5.1558 eV/atom
DOS at the Fermi energy = 1.129 states/eV per atom

abc: 4.623 8.495 7.597
angles: 90.00 90.00 90.00
Sites, in units of the cell vectors:
La 0.500 0.750 0.934
In 0.500 0.750 0.496
La 0.000 0.533 0.274
In 0.500 0.250 0.504
La 0.000 0.967 0.274
La 0.000 0.033 0.726
La 0.000 0.467 0.726
Co 0.000 0.750 0.665
Co 0.000 0.250 0.335
La 0.500 0.250 0.066

No. 11
## ZrTi3N4 (PBE)

Data for crystalline ZrTi3N4 at its relaxed geometry.

Summary:
SG = No. 65
Raw formation energy = -1662 meV per atom
Density = 5843 kg/m3
Energy = -9.8542 eV/atom
DOS at the Fermi energy = 0.471 states/eV per atom

abc: 3.081 5.333 5.333
angles: 70.61 90.00 90.00
Sites, in units of the cell vectors:
N 0.000 0.763 0.737
Ti 0.000 0.000 0.000
Zr 0.500 0.500 0.000
N 0.500 0.243 0.743
Ti 0.500 0.000 0.500
N 0.000 0.237 0.263
Ti 0.000 0.500 0.500
N 0.500 0.757 0.257

No. 12
## RbLiPu2O8 (PBE)

Data for crystalline RbLiPu2O8 at its relaxed geometry.

Summary:
SG = No. 147
Raw formation energy = -2024 meV per atom
Density = 5994 kg/m3
Energy = -7.9586 eV/atom
DOS at the Fermi energy = 0.642 states/eV per atom

abc: 5.787 5.787 6.766
angles: 90.00 90.00 120.00
Last column: magnetic moment on the atom in μB.
Sites, in units of the cell vectors:
Rb 0.000 0.000 0.500  0.00
O 0.685 0.058 0.874  -0.13
Li 0.000 0.000 0.000  0.00
O 0.058 0.373 0.126  -0.13
Pu 0.333 0.667 0.937  1.63
O 0.373 0.315 0.874  -0.13
O 0.333 0.667 0.662  -0.18
O 0.667 0.333 0.338  -0.18
O 0.942 0.627 0.874  -0.13
O 0.315 0.942 0.126  -0.13
O 0.627 0.685 0.126  -0.13
Pu 0.667 0.333 0.063  1.63